DFT (GGA+U) results for an optimized crystal structure of K2CeW3O12.

Properties
E_tot, eV/atom: -7.223
Volume, Å³/atom: 17.17
Space-group type: R-3m, No. 166
ρ, g/cm³: 5.168

Structure (extended XYZ):
```
18
Lattice="3.7446 2.1619 6.3622 -3.7446 2.1619 6.3622 0.0000 -4.3238 6.3622" Properties=species:S:1:pos:R:3 pbc="T T T"
K 0.0000 0.0000 3.0670
K 0.0000 0.0000 16.0197
Ce 0.0000 0.0000 9.5434
W -1.8723 -1.0810 6.3622
W -1.8723 1.0810 12.7245
W 0.0000 2.1619 6.3622
O -1.6025 -0.9252 8.2602
O 0.0000 -1.5754 6.1187
O -1.3643 0.7877 6.1187
O 0.0000 -1.8504 10.8265
O -1.6025 0.9252 10.8265
O -1.3643 -0.7877 12.9681
O 1.3643 0.7877 6.1187
O 1.6025 -0.9252 8.2602
O 0.0000 1.8504 8.2602
O 1.3644 -0.7877 12.9681
O 0.0000 1.5754 12.9681
O 1.6025 0.9252 10.8265
```